# KHo2CuMo4O16

A geometry-optimized KHo2CuMo4O16 structure (PBE+U, Alexandria).

a = 6.878 Å, b = 6.878 Å, c = 19.884 Å
α = 88.15°, β = 88.15°, γ = 134.82°
Site moments in Bohr magnetons follow the coordinates.
Fractional coordinates of all 48 atoms:
Mo 0.238 0.726 0.144  0.00
Ho 0.145 0.852 0.970  0.00
O 0.528 0.940 0.287  0.00
Mo 0.589 0.464 0.409  0.00
O 0.571 0.047 0.566  0.00
O 0.258 0.216 0.462  0.00
O 0.902 0.593 0.628  0.00
O 0.429 0.953 0.434  0.00
O 0.220 0.322 0.099  0.00
Mo 0.762 0.274 0.856  0.00
O 0.979 0.246 0.666  0.00
Ho 0.148 0.855 0.530  0.00
O 0.784 0.742 0.038  0.00
O 0.678 0.780 0.401  0.00
O 0.500 0.165 0.039  0.00
O 0.472 0.060 0.713  0.00
O 0.322 0.220 0.599  0.00
Cu 0.312 0.688 0.750  0.06
O 0.754 0.021 0.834  0.00
O 0.322 0.501 0.829  0.00
Mo 0.274 0.762 0.356  0.00
O 0.953 0.429 0.934  0.00
O 0.021 0.754 0.334  0.00
O 0.499 0.678 0.671  0.00
Mo 0.411 0.536 0.591  0.00
O 0.940 0.528 0.787  0.00
K 0.970 0.030 0.250  0.00
Cu 0.688 0.312 0.250  0.06
Mo 0.464 0.589 0.909  0.00
K 0.030 0.970 0.750  0.00
O 0.780 0.678 0.901  0.00
O 0.060 0.472 0.213  0.00
Mo 0.536 0.411 0.091  0.00
O 0.742 0.784 0.538  0.00
O 0.165 0.500 0.539  0.00
Mo 0.726 0.238 0.644  0.00
O 0.500 0.835 0.961  0.00
O 0.216 0.258 0.962  0.00
O 0.835 0.500 0.461  0.00
O 0.098 0.407 0.372  0.00
O 0.047 0.571 0.066  0.00
O 0.246 0.979 0.166  0.00
Ho 0.855 0.148 0.030  0.00
O 0.678 0.499 0.171  0.00
Ho 0.852 0.145 0.470  0.00
O 0.501 0.322 0.329  0.00
O 0.407 0.098 0.872  0.00
O 0.593 0.902 0.128  0.00

Values from the calculation:
Density, kg/m³: 5356
SG: C2/c (15)
Energy, eV per atom: -7.108